(1)
! BeBiBCl2 PBE optimized geometry; values from VASP
&SYSTEM
  ibrav = 0, nat = 5, ntyp = 4
/
ATOMIC_SPECIES
Be 9.01 Be.upf
Bi 208.98 Bi.upf
B 10.81 B.upf
Cl 35.45 Cl.upf
ATOMIC_POSITIONS angstrom
Be 0.0000 0.0000 0.0000
Bi 2.1006 2.1006 2.6254
B 0.0000 0.0000 2.6254
Cl 0.0000 2.1006 0.0000
Cl 2.1006 0.0000 0.0000
CELL_PARAMETERS angstrom
4.2011 0.0000 0.0000
0.0000 4.2011 0.0000
0.0000 0.0000 5.2508
! Space group = P4/mmm, No. 123
! V = 92.7 Å³/f.u.
! Crystal system = tetragonal
! Raw formation energy = 545 meV/atom
! Total magnetization = 0.41 μB/cell

***

(2)
! Y2ScBeO PBE optimized geometry; values from VASP
&SYSTEM
  ibrav = 0, nat = 5, ntyp = 4
/
ATOMIC_SPECIES
Y 88.91 Y.upf
Sc 44.96 Sc.upf
Be 9.01 Be.upf
O 16.00 O.upf
ATOMIC_POSITIONS angstrom
Y 0.0000 2.3507 0.0000
Y 2.3507 0.0000 0.0000
Sc 0.0000 0.0000 2.1715
Be 2.3507 2.3507 2.1715
O 0.0000 0.0000 0.0000
CELL_PARAMETERS angstrom
4.7015 0.0000 0.0000
0.0000 4.7015 0.0000
0.0000 0.0000 4.3431
! Space group = P4/mmm, No. 123
! V = 96.0 Å³/f.u.
! Crystal system = tetragonal
! Raw formation energy = -1093 meV/atom
! Total magnetization = 0.00 μB/cell

***

(3)
! YTeOs2 PBE optimized geometry; values from VASP
&SYSTEM
  ibrav = 0, nat = 4, ntyp = 3
/
ATOMIC_SPECIES
Y 88.91 Y.upf
Te 127.60 Te.upf
Os 190.23 Os.upf
ATOMIC_POSITIONS angstrom
Y 0.0000 0.0000 0.0000
Te 2.2371 0.0000 2.2384
Os 0.0000 0.0000 4.3513
Os 2.2371 0.0000 5.4462
CELL_PARAMETERS angstrom
2.2371 -2.4959 0.0000
2.2371 2.4959 0.0000
0.0000 0.0000 7.4384
! Space group = Cmm2, No. 35
! V = 83.1 Å³/f.u.
! Crystal system = orthorhombic
! Raw formation energy = 311 meV/atom
! Total magnetization = 0.00 μB/cell